{"formula": "Na3In4Ge4", "functional": "PBE-GGA", "state": "optimized geometry", "sg": "No. 71", "formation_energy_ev_per_atom": -0.0388, "lattice": [[-2.361, 3.769, 7.936], [2.361, -3.769, 7.936], [2.361, 3.769, -7.936]], "species": ["Na", "Na", "Na", "In", "In", "In", "In", "Ge", "Ge", "Ge", "Ge"], "frac_coords": [[0.000, 0.000, 0.000], [0.389, 0.889, 0.500], [0.611, 0.111, 0.500], [0.045, 0.333, 0.712], [0.379, 0.667, 0.712], [0.621, 0.333, 0.288], [0.955, 0.667, 0.288], [0.215, 0.215, 0.000], [0.335, 0.500, 0.835], [0.665, 0.500, 0.165], [0.785, 0.785, 0.000]]}